Entry 1:
# K2LiNpO4 (PBE, relaxed)
data_K2LiNpO4
_chemical_formula_sum 'K2 Li1 Np1 O4'
_cell_length_a 5.602
_cell_length_b 3.532
_cell_length_c 6.421
_cell_angle_alpha 90.00
_cell_angle_beta 105.64
_cell_angle_gamma 90.00
_space_group_name_H-M_alt 'P 1 2/m 1'
_space_group_IT_number 10
loop_
_space_group_symop_operation_xyz
'x,y,z'
'-x,-y,-z'
'-x,y,-z'
'x,-y,z'
loop_
_atom_site_label
_atom_site_type_symbol
_atom_site_fract_x
_atom_site_fract_y
_atom_site_fract_z
K1 K 0.000 0.000 0.000
K2 K 0.500 0.500 0.000
Li1 Li 0.000 0.500 0.500
Np1 Np 0.500 0.000 0.500
O1 O 0.275 0.000 0.694
O2 O 0.277 0.500 0.320
# Crystal system: monoclinic
# DOS(E_F): 2.73 states/eV per cell
# Energy: -6.87 eV per atom



Entry 2:
# BaTa (PBE, relaxed)
data_BaTa
_chemical_formula_sum 'Ba3 Ta3'
_cell_length_a 6.0493
_cell_length_b 6.0493
_cell_length_c 6.3816
_cell_angle_alpha 90.00
_cell_angle_beta 90.00
_cell_angle_gamma 120.00
_space_group_name_H-M_alt 'P 6/m m m'
_space_group_IT_number 191
_space_group_name_Hall '-P 6 2'
loop_
_atom_site_label
_atom_site_type_symbol
_atom_site_fract_x
_atom_site_fract_y
_atom_site_fract_z
Ba1 Ba 0.0000 0.0000 0.0000
Ba2 Ba 0.3333 0.6667 0.5000
Ta1 Ta 0.0000 0.5000 0.0000
# Formation enthalpy at 0 K: 1.230 eV/atom
# Distance to the lowest polymorph of the same formula: 710 meV per atom
# Crystal system: hexagonal
# DOS(E_F): 9.32 states/eV per cell
# Energy: -5.66 eV per atom



Entry 3:
# Na3TbTe2Se6 (PBE, relaxed)
data_Na3TbTe2Se6
_chemical_formula_sum 'Na6 Tb2 Te4 Se12'
_cell_length_a 7.876
_cell_length_b 12.206
_cell_length_c 7.409
_cell_angle_alpha 90.00
_cell_angle_beta 112.26
_cell_angle_gamma 90.00
_space_group_name_H-M_alt 'C 1 2/m 1'
_space_group_IT_number 12
loop_
_space_group_symop_operation_xyz
'x,y,z'
'-x,-y,-z'
'-x,y,-z'
'x,-y,z'
'x+1/2,y+1/2,z'
'-x+1/2,-y+1/2,-z'
'-x+1/2,y+1/2,-z'
'x+1/2,-y+1/2,z'
loop_
_atom_site_label
_atom_site_type_symbol
_atom_site_fract_x
_atom_site_fract_y
_atom_site_fract_z
Na1 Na 0.000 0.000 0.000
Na2 Na 0.000 0.330 0.000
Tb1 Tb 0.000 0.500 0.500
Te1 Te 0.000 0.173 0.500
Se1 Se 0.219 0.328 0.739
Se2 Se 0.246 0.000 0.718
# Crystal system: monoclinic
# DOS(E_F): 3.43 states/eV per cell
# Energy: -3.78 eV per atom



Entry 4:
# RbNa2SiAg (PBE, relaxed)
data_RbNa2SiAg
_chemical_formula_sum 'Rb1 Na2 Si1 Ag1'
_cell_length_a 5.721
_cell_length_b 5.721
_cell_length_c 4.951
_cell_angle_alpha 90.00
_cell_angle_beta 90.00
_cell_angle_gamma 90.00
_space_group_name_H-M_alt 'P 4/m m m'
_space_group_IT_number 123
_space_group_name_Hall '-P 4 2'
loop_
_atom_site_label
_atom_site_type_symbol
_atom_site_fract_x
_atom_site_fract_y
_atom_site_fract_z
Rb1 Rb 0.000 0.000 0.000
Na1 Na 0.000 0.500 0.500
Si1 Si 0.500 0.500 0.500
Ag1 Ag 0.500 0.500 0.000
# Distance to the lowest polymorph of the same formula: 0 meV per atom
# Crystal system: tetragonal
# DOS(E_F): 0.89 states/eV per cell
# Energy: -2.31 eV per atom



Entry 5:
# PrYCl3 (PBE, relaxed)
data_PrYCl3
_chemical_formula_sum 'Pr4 Y4 Cl12'
_cell_length_a 15.957
_cell_length_b 3.925
_cell_length_c 10.764
_cell_angle_alpha 90.00
_cell_angle_beta 119.24
_cell_angle_gamma 90.00
_space_group_name_H-M_alt 'C 1 2/m 1'
_space_group_IT_number 12
loop_
_space_group_symop_operation_xyz
'x,y,z'
'-x,-y,-z'
'-x,y,-z'
'x,-y,z'
'x+1/2,y+1/2,z'
'-x+1/2,-y+1/2,-z'
'-x+1/2,y+1/2,-z'
'x+1/2,-y+1/2,z'
loop_
_atom_site_label
_atom_site_type_symbol
_atom_site_fract_x
_atom_site_fract_y
_atom_site_fract_z
Pr1 Pr 0.141 0.000 0.292
Y1 Y 0.086 0.500 0.953
Cl1 Cl 0.050 0.000 0.753
Cl2 Cl 0.156 0.500 0.508
Cl3 Cl 0.223 0.000 0.112
# Crystal system: monoclinic
# Energy: -5.20 eV per atom



Entry 6:
# LaSnSbI2 (PBE, relaxed)
data_LaSnSbI2
_chemical_formula_sum 'La1 Sn1 Sb1 I2'
_cell_length_a 6.095
_cell_length_b 6.095
_cell_length_c 6.399
_cell_angle_alpha 90.00
_cell_angle_beta 90.00
_cell_angle_gamma 90.00
_space_group_name_H-M_alt 'P 4/m m m'
_space_group_IT_number 123
_space_group_name_Hall '-P 4 2'
loop_
_atom_site_label
_atom_site_type_symbol
_atom_site_fract_x
_atom_site_fract_y
_atom_site_fract_z
La1 La 0.000 0.000 0.000
Sn1 Sn 0.500 0.500 0.500
Sb1 Sb 0.000 0.000 0.500
I1 I 0.000 0.500 0.000
# Crystal system: tetragonal
# DOS(E_F): 3.73 states/eV per cell
# Energy: -3.46 eV per atom



Entry 7:
# HfAlSb3 (PBE, relaxed)
data_HfAlSb3
_chemical_formula_sum 'Hf1 Al1 Sb3'
_cell_length_a 5.177
_cell_length_b 5.177
_cell_length_c 5.177
_cell_angle_alpha 90.00
_cell_angle_beta 90.00
_cell_angle_gamma 90.00
_space_group_name_H-M_alt 'P m -3 m'
_space_group_IT_number 221
_space_group_name_Hall '-P 4 2 3'
loop_
_atom_site_label
_atom_site_type_symbol
_atom_site_fract_x
_atom_site_fract_y
_atom_site_fract_z
Hf1 Hf 0.000 0.000 0.000
Al1 Al 0.500 0.500 0.500
Sb1 Sb 0.000 0.500 0.500
# Distance to the lowest polymorph of the same formula: 324 meV per atom
# Crystal system: cubic
# DOS(E_F): 4.37 states/eV per cell
# Energy: -4.48 eV per atom



Entry 8:
# Ta3Os (PBE, relaxed)
data_Ta3Os
_chemical_formula_sum 'Ta3 Os1'
_cell_length_a 4.882
_cell_length_b 4.882
_cell_length_c 4.882
_cell_angle_alpha 90.00
_cell_angle_beta 90.00
_cell_angle_gamma 90.00
_space_group_name_H-M_alt 'P m -3 m'
_space_group_IT_number 221
_space_group_name_Hall '-P 4 2 3'
loop_
_atom_site_label
_atom_site_type_symbol
_atom_site_fract_x
_atom_site_fract_y
_atom_site_fract_z
Ta1 Ta 0.000 0.000 0.500
Os1 Os 0.000 0.000 0.000
# Formation enthalpy at 0 K: 1.875 eV/atom
# Crystal system: cubic
# DOS(E_F): 3.52 states/eV per cell
# Energy: -9.82 eV per atom



What did the eighth record say?
# Ta3Os (PBE, relaxed)
data_Ta3Os
_chemical_formula_sum 'Ta3 Os1'
_cell_length_a 4.882
_cell_length_b 4.882
_cell_length_c 4.882
_cell_angle_alpha 90.00
_cell_angle_beta 90.00
_cell_angle_gamma 90.00
_space_group_name_H-M_alt 'P m -3 m'
_space_group_IT_number 221
_space_group_name_Hall '-P 4 2 3'
loop_
_atom_site_label
_atom_site_type_symbol
_atom_site_fract_x
_atom_site_fract_y
_atom_site_fract_z
Ta1 Ta 0.000 0.000 0.500
Os1 Os 0.000 0.000 0.000
# Formation enthalpy at 0 K: 1.875 eV/atom
# Crystal system: cubic
# DOS(E_F): 3.52 states/eV per cell
# Energy: -9.82 eV per atom



Q: Number 3 is which compound?
A: Na3TbTe2Se6



Q: energy of number 1 (K2LiNpO4)?
A: -6.87 eV per atom



Q: Which formula does entry 6 have?
A: LaSnSbI2